Pm4Ge2I3 | GGA-PBE | relaxed

```
Pm4Ge2I3
1.0
-4.1266 1.0195 0.8683
2.5090 -1.7129 3.0972
5.3720 17.3750 5.2295
Pm Ge I
4 2 3
Cartesian
5.0184 14.4815 6.9526
-2.5791 5.9993 2.3702
6.3336 10.6824 6.8248
-1.2640 2.2002 2.2424
2.3799 14.0185 5.7953
1.3746 2.6632 3.3997
0.2116 6.9543 3.6756
0.0000 0.0000 0.0000
3.5428 9.7274 5.5194
```

DFT total energy = -43.2 eV/f.u.
crystal system = monoclinic
excess energy over the best structure of this formula in the dataset = 0.00 eV/f.u.
formation energy without anion corrections = -1.144 eV/atom
total moment = 0.00 Bohr magnetons per cell
space group = No. 12

NpZnGaRh | GGA-PBE | relaxed

```
NpZnGaRh
1.0
4.6673 0.0000 0.0000
2.3336 4.0420 0.0000
2.3336 1.3473 3.8108
Np Zn Rh Ga
1 1 1 1
Cartesian
7.0009 4.0420 2.8581
0.0000 0.0000 0.0000
4.6673 2.6947 1.9054
2.3336 1.3473 0.9527
```

DFT total energy = -25.1 eV/f.u.
crystal system = cubic
ΔH_f (0 K) = -0.46 eV per formula unit
total moment = 3.67 Bohr magnetons per cell
space group = No. 216

Ge2SbRu2 | GGA-PBE | relaxed

```
Ge2SbRu2
1.0
3.7330 0.0000 0.0000
0.0000 3.7330 0.0000
1.8665 1.8665 6.1958
Sb Ge Ru
1 2 2
Cartesian
0.0000 0.0000 0.0000
3.7330 1.8665 3.0979
1.8665 3.7330 3.0979
1.8665 1.8665 1.4263
3.7330 3.7330 4.7695
```

DFT total energy = -32.1 eV/f.u.
crystal system = tetragonal
formation energy without anion corrections = -0.034 eV/atom
total moment = 0.00 Bohr magnetons per cell
space group = No. 139

KLi2PaS4 | GGA-PBE | relaxed

```
KLi2PaS4
1.0
6.9169 0.0000 0.0000
3.4585 5.3589 0.2342
3.4585 0.6726 5.3217
K Li Pa S
1 2 1 4
Cartesian
0.0000 0.0000 0.0000
3.4585 1.5079 1.3890
10.3754 4.5236 4.1669
6.9169 3.0158 2.7780
5.4409 0.9532 2.8847
5.4409 5.0783 2.6712
8.3929 2.9531 0.7136
8.3929 3.0784 4.8423
```

DFT total energy = -41.3 eV/f.u.
crystal system = tetragonal
formation energy without anion corrections = -1.297 eV/atom
total moment = 0.00 Bohr magnetons per cell
space group = No. 121

Tm2ScSn2Rh5 | GGA-PBE | relaxed

```
Tm2ScSn2Rh5
1.0
3.7302 0.0000 0.0000
0.0000 10.0949 0.0000
0.0000 0.0000 10.0949
Tm Sc Sn Rh
4 2 4 10
Cartesian
0.0000 6.7517 1.7043
0.0000 3.3432 8.3906
0.0000 1.7043 3.3432
0.0000 8.3906 6.7517
0.0000 0.0000 0.0000
0.0000 5.0474 5.0474
0.0000 1.3138 6.3612
0.0000 8.7811 3.7337
0.0000 6.3612 8.7811
0.0000 3.7337 1.3138
1.8651 2.0231 0.6162
1.8651 8.0718 9.4787
1.8651 0.6162 8.0718
1.8651 7.0705 4.4313
1.8651 9.4787 2.0231
1.8651 3.0244 5.6636
1.8651 5.6636 7.0705
1.8651 4.4313 3.0244
1.8651 5.0474 0.0000
1.8651 0.0000 5.0474
```

DFT total energy = -66.7 eV/f.u.
crystal system = tetragonal
ΔH_f (0 K) = -6.64 eV per formula unit
total moment = 0.00 Bohr magnetons per cell
space group = No. 127

YCrTe | GGA-PBE | relaxed

```
YCrTe
1.0
-0.8067 2.1789 -5.2949
2.0656 -2.2635 -4.9035
-2.8354 -1.4070 4.8390
Cr Te Y
1 1 1
Cartesian
1.2450 -0.0837 -10.0861
0.4387 -0.0295 -3.5541
0.8340 -0.0560 -6.7568
```

DFT total energy = -19.7 eV/f.u.
crystal system = tetragonal
formation energy without anion corrections = -0.147 eV/atom
total moment = 3.87 Bohr magnetons per cell
space group = No. 107